# Pm6Co2HCl3 (PBE, optimized geometry)
data_Pm6Co2HCl3
_chemical_formula_sum 'Pm6 Co2 H1 Cl3'
_symmetry_space_group_name_H-M 'P 1'
_symmetry_Int_Tables_number 1
_cell_length_a 6.7592
_cell_length_b 6.7592
_cell_length_c 7.7547
_cell_angle_alpha 98.44
_cell_angle_beta 98.44
_cell_angle_gamma 119.88
loop_
_symmetry_equiv_pos_as_xyz
'x,y,z'
loop_
_atom_site_label
_atom_site_type_symbol
_atom_site_fract_x
_atom_site_fract_y
_atom_site_fract_z
Pm1 Pm 0.9338 0.5952 0.8007
Pm2 Pm 0.7275 0.7275 0.1993
Pm3 Pm 0.0662 0.4048 0.1993
Pm4 Pm 0.5952 0.9338 0.8007
Pm5 Pm 0.2725 0.2725 0.8007
Pm6 Pm 0.4048 0.0662 0.1993
Co1 Co 0.3337 0.6663 0.0000
Co2 Co 0.6663 0.3337 0.0000
H1 H 0.0000 0.0000 0.0000
Cl1 Cl 0.1699 0.8301 0.5000
Cl2 Cl 0.8301 0.1699 0.5000
Cl3 Cl 0.5000 0.5000 0.5000
# Calculated total energy in eV/atom: -5.155
# Space-group type: C2/m, No. 12

---

# Pr8Co3HCl4 (PBE, optimized geometry)
data_Pr8Co3HCl4
_chemical_formula_sum 'Pr8 Co3 H1 Cl4'
_symmetry_space_group_name_H-M 'P 1'
_symmetry_Int_Tables_number 1
_cell_length_a 7.9361
_cell_length_b 8.8232
_cell_length_c 7.9368
_cell_angle_alpha 116.74
_cell_angle_beta 120.00
_cell_angle_gamma 90.00
loop_
_symmetry_equiv_pos_as_xyz
'x,y,z'
loop_
_atom_site_label
_atom_site_type_symbol
_atom_site_fract_x
_atom_site_fract_y
_atom_site_fract_z
Pr1 Pr 0.2347 0.7015 0.9670
Pr2 Pr 0.2349 0.7018 0.4699
Pr3 Pr 0.2665 0.2995 0.5329
Pr4 Pr 0.7322 0.7015 0.9670
Pr5 Pr 0.2678 0.2985 0.0330
Pr6 Pr 0.7335 0.7005 0.4671
Pr7 Pr 0.7651 0.2982 0.5301
Pr8 Pr 0.7653 0.2985 0.0330
Co1 Co 0.5000 0.5000 0.0000
Co2 Co 0.5000 0.5000 0.5000
Co3 Co 0.0000 0.5000 0.5000
H1 H 0.0000 0.5000 0.0000
Cl1 Cl 0.5000 0.0000 0.0000
Cl2 Cl 0.5000 0.0000 0.5000
Cl3 Cl 0.0000 0.0000 0.0000
Cl4 Cl 0.0000 0.0000 0.5000
# Calculated total energy in eV/atom: -5.225
# Space-group type: R-3m, No. 166

---

# Pr4CoHCl2 (PBE, optimized geometry)
data_Pr4CoHCl2
_chemical_formula_sum 'Pr4 Co1 H1 Cl2'
_symmetry_space_group_name_H-M 'P 1'
_symmetry_Int_Tables_number 1
_cell_length_a 3.9201
_cell_length_b 6.6758
_cell_length_c 7.7744
_cell_angle_alpha 106.51
_cell_angle_beta 90.00
_cell_angle_gamma 90.00
loop_
_symmetry_equiv_pos_as_xyz
'x,y,z'
loop_
_atom_site_label
_atom_site_type_symbol
_atom_site_fract_x
_atom_site_fract_y
_atom_site_fract_z
Pr1 Pr 0.5000 0.2358 0.2061
Pr2 Pr 0.5000 0.7642 0.7939
Pr3 Pr 0.0000 0.2555 0.7966
Pr4 Pr 0.0000 0.7445 0.2034
Co1 Co 0.5000 0.5000 0.0000
H1 H 0.0000 0.0000 0.0000
Cl1 Cl 0.5000 0.0000 0.5000
Cl2 Cl 0.0000 0.5000 0.5000
# Calculated total energy in eV/atom: -4.996
# Space-group type: P2/m, No. 10